No. 1
Crystalline AlTcHg at its relaxed geometry. Source: the Alexandria database, functional PBE-GGA.

POSCAR file:
```
AlTcHg
1.0
-3.5090 2.4032 -0.4020
-2.0532 0.1731 -3.7423
-3.8235 -1.8572 -0.4265
Al Tc Hg
1 1 1
Direct
0.7500 0.7500 0.7500 Al
0.5000 0.5000 0.5000 Tc
0.0000 0.0000 0.0000 Hg
```

Results
Formation energy = 483 meV/atom
Energy above the most stable polymorph in this dataset = 0.2669 eV/atom
Symmetry = F-43m (216)

No. 2
Crystalline Al2TcHg at its relaxed geometry. Source: the Alexandria database, functional PBE-GGA.

POSCAR file:
```
Al2TcHg
1.0
-4.7715 -0.6742 7.8804
-4.2414 -3.5453 7.4003
-2.2176 -1.8758 8.7685
Al Tc Hg
2 1 1
Direct
0.0048 0.0048 0.0048 Al
0.2542 0.2542 0.2542 Al
0.7430 0.7430 0.7430 Tc
0.4980 0.4980 0.4980 Hg
```

Results
Formation energy = 177 meV/atom
Symmetry = R3m (160)